(1)
Crystalline Cr3InRe at its relaxed geometry, computed with PBE.

Values from the calculation:
Polymorph energy (0 for the lowest one)   1.536 eV per atom
DFT total energy   -6.048 eV per atom
Symmetry   Pm-3m (221)

abc: 4.5287 4.5287 4.5287
angles: 90.00 90.00 90.00
Last column: nearest neighbours and their distance in Å.
Fractional coordinates of all 5 atoms:
Cr (0.0000, 0.0000, 0.5000)  2 In 2.26
Cr (0.0000, 0.5000, 0.0000)  2 In 2.26
Cr (0.5000, 0.0000, 0.0000)  2 In 2.26
In (0.0000, 0.0000, 0.0000)  6 Cr 2.26
Re (0.5000, 0.5000, 0.5000)  12 Cr 3.20

(2)
Crystalline CrInRe at its relaxed geometry, computed with PBE.

Values from the calculation:
Polymorph energy (0 for the lowest one)   0.000 eV per atom
DFT total energy   -7.981 eV per atom
Symmetry   I4mm (107)

abc: 5.7259 5.7259 5.7259
angles: 149.62 149.62 43.49
Last column: nearest neighbours and their distance in Å.
Fractional coordinates of all 3 atoms:
Cr (0.0000, 0.0000, 0.0000)  4 Re 2.49
In (0.3170, 0.3170, 0.0000)  4 Cr 2.88, 4 Re 2.97, 4 In 3.00
Re (0.6217, 0.6217, 0.0000)  4 Cr 2.49